The following is a DFT calculation (PBE) of a relaxed structure of Mn2AlCr2.

ΔE_f in eV per formula unit: -0.2
DOS(E_F) in states/eV/atom: 0.82

The structure in CIF format:
```
data_Mn2AlCr2
_chemical_formula_sum 'Mn2 Al1 Cr2'
_symmetry_space_group_name_H-M 'P 1'
_symmetry_Int_Tables_number 1
_symmetry_space_group_name_Hall 'P 1'
_cell_length_a 6.273
_cell_length_b 6.273
_cell_length_c 2.556
_cell_angle_alpha 97.44
_cell_angle_beta 97.44
_cell_angle_gamma 36.12
loop_
_atom_site_label
_atom_site_type_symbol
_atom_site_fract_x
_atom_site_fract_y
_atom_site_fract_z
Mn1 Mn 0.109 0.109 0.455
Mn2 Mn 0.891 0.891 0.545
Al1 Al 0.500 0.500 0.000
Cr1 Cr 0.300 0.300 0.205
Cr2 Cr 0.700 0.700 0.795
```



The following is a DFT calculation (PBE) of a relaxed structure of Mn2AlCr2.

ΔE_f in eV per formula unit: 0.8
DOS(E_F) in states/eV/atom: 1.09

The structure in CIF format:
```
data_Mn2AlCr2
_chemical_formula_sum 'Mn4 Al2 Cr4'
_symmetry_space_group_name_H-M 'P 1'
_symmetry_Int_Tables_number 1
_symmetry_space_group_name_Hall 'P 1'
_cell_length_a 6.753
_cell_length_b 6.753
_cell_length_c 2.686
_cell_angle_alpha 90.00
_cell_angle_beta 90.00
_cell_angle_gamma 90.00
loop_
_atom_site_label
_atom_site_type_symbol
_atom_site_fract_x
_atom_site_fract_y
_atom_site_fract_z
Mn1 Mn 0.134 0.366 0.000
Mn2 Mn 0.366 0.866 0.000
Mn3 Mn 0.634 0.134 0.000
Mn4 Mn 0.866 0.634 0.000
Al1 Al 0.000 0.000 0.000
Al2 Al 0.500 0.500 0.000
Cr1 Cr 0.163 0.663 0.500
Cr2 Cr 0.337 0.163 0.500
Cr3 Cr 0.663 0.837 0.500
Cr4 Cr 0.837 0.337 0.500
```



The following is a DFT calculation (PBE) of a relaxed structure of MnAlCr.

ΔE_f in eV per formula unit: 0.0
DOS(E_F) in states/eV/atom: 0.98

The structure in CIF format:
```
data_MnAlCr
_chemical_formula_sum 'Mn1 Al1 Cr1'
_symmetry_space_group_name_H-M 'P 1'
_symmetry_Int_Tables_number 1
_symmetry_space_group_name_Hall 'P 1'
_cell_length_a 6.430
_cell_length_b 6.237
_cell_length_c 2.565
_cell_angle_alpha 82.57
_cell_angle_beta 74.12
_cell_angle_gamma 23.31
loop_
_atom_site_label
_atom_site_type_symbol
_atom_site_fract_x
_atom_site_fract_y
_atom_site_fract_z
Mn1 Mn 0.000 0.000 0.000
Al1 Al 0.670 0.670 0.330
Cr1 Cr 0.345 0.345 0.655
```